# 1
Computed, not measured: an optimized crystal structure of SiSn2Pd2 at the GGA-PBE level of DFT.

Cell lengths 7.589, 7.589, 3.405 Å; angles 90.00, 90.00, 90.00 degrees
Space group P4/mbm (No. 127)
Asymmetric unit:
Si: 0.000 0.000 0.000 x2
Sn: 0.165 0.335 0.500 x4
Pd: 0.135 0.635 0.000 x4

Formation energy (no corrections) = -41 kJ/mol of formula units

# 2
Computed, not measured: an optimized crystal structure of Si2SnPd7 at the GGA-PBE level of DFT.

Cell lengths 7.357, 11.594, 4.403 Å; angles 90.00, 90.00, 90.00 degrees
Space group Cmmm (No. 65)
Asymmetric unit:
Si: 0.000 0.199 0.000 x4
Sn: 0.000 0.500 0.500 x2
Pd: 0.000 0.000 0.000 x2
Pd: 0.000 0.266 0.500 x4
Pd: 0.191 0.374 0.000 x8

Formation energy (no corrections) = -271 kJ/mol of formula units

# 3
Computed, not measured: an optimized crystal structure of SiSnPd at the GGA-PBE level of DFT.

Cell lengths 4.1743, 4.1743, 3.9427 Å; angles 90.00, 90.00, 120.00 degrees
Space group P3m1 (No. 156)
Asymmetric unit:
Si: 0.0000 0.0000 0.0000 x1
Sn: 0.3333 0.6667 0.5001 x1
Pd: 0.6667 0.3333 0.9972 x1

Formation energy (no corrections) = -28 kJ/mol of formula units

# 4
Computed, not measured: an optimized crystal structure of Si2Sn5Pd12 at the GGA-PBE level of DFT.

Cell lengths 13.951, 7.521, 7.119 Å; angles 90.00, 108.52, 90.00 degrees
Space group C2/m (No. 12)
Asymmetric unit:
Si: 0.000 0.250 0.000 x4
Sn: 0.000 0.000 0.500 x2
Sn: 0.219 0.500 0.843 x4
Sn: 0.234 0.000 0.551 x4
Pd: 0.017 0.500 0.803 x4
Pd: 0.076 0.000 0.200 x4
Pd: 0.110 0.302 0.513 x8
Pd: 0.177 0.306 0.126 x8

Formation energy (no corrections) = -780 kJ/mol of formula units

# 5
Computed, not measured: an optimized crystal structure of Si3SnPd at the GGA-PBE level of DFT.

Cell lengths 4.745, 4.745, 4.745 Å; angles 90.00, 90.00, 90.00 degrees
Space group Pm-3m (No. 221)
Asymmetric unit:
Si: 0.000 0.000 0.500 x3
Sn: 0.500 0.500 0.500 x1
Pd: 0.000 0.000 0.000 x1

Formation energy (no corrections) = 246 kJ/mol of formula units

# 6
Computed, not measured: an optimized crystal structure of Si2SnPd2 at the GGA-PBE level of DFT.

Cell lengths 7.638, 7.638, 2.904 Å; angles 90.00, 90.00, 90.00 degrees
Space group P4/mbm (No. 127)
Asymmetric unit:
Si: 0.151 0.349 0.000 x4
Sn: 0.000 0.000 0.500 x2
Pd: 0.134 0.634 0.500 x4

Formation energy (no corrections) = -73 kJ/mol of formula units